[1]
A relaxed Ac8CuRh3Cl4 crystal. Source: Alexandria via LeMat-Bulk, functional PBE.

abc: 15.075 8.708 9.444
angles: 90.00 122.28 90.00
Space group C2/m (No. 12)
One atom of each set of equivalent atoms:
Ac  0.017  0.245  0.297 [8 per cell]
Ac  0.235  0.000  0.704 [4 per cell]
Ac  0.238  0.500  0.703 [4 per cell]
Cu  0.000  0.500  0.500 [2 per cell]
Rh  0.000  0.000  0.500 [2 per cell]
Rh  0.250  0.250  0.500 [4 per cell]
Cl  0.000  0.000  0.000 [2 per cell]
Cl  0.000  0.500  0.000 [2 per cell]
Cl  0.250  0.250  0.000 [4 per cell]

* E: -5.287 eV per atom
* formation energy (no corrections): -1.14 eV per atom
* crystal system: monoclinic

[2]
A relaxed Ac6CuRu2Cl3 crystal. Source: Alexandria via LeMat-Bulk, functional PBE.

abc: 7.481 12.969 8.408
angles: 90.00 107.07 90.00
Space group C2/m (No. 12)
One atom of each set of equivalent atoms:
Ac  0.218  0.000  0.203 [4 per cell]
Ac  0.242  0.326  0.204 [8 per cell]
Cu  0.000  0.500  0.000 [2 per cell]
Ru  0.000  0.166  0.000 [4 per cell]
Cl  0.000  0.000  0.500 [2 per cell]
Cl  0.000  0.325  0.500 [4 per cell]

* E: -5.350 eV per atom
* formation energy (no corrections): -0.95 eV per atom
* crystal system: monoclinic

[3]
A relaxed Ac8CuRu3Cl4 crystal. Source: Alexandria via LeMat-Bulk, functional PBE.

abc: 14.905 8.608 9.444
angles: 90.00 121.81 90.00
Space group C2/m (No. 12)
One atom of each set of equivalent atoms:
Ac  0.018  0.241  0.297 [8 per cell]
Ac  0.236  0.000  0.706 [4 per cell]
Ac  0.240  0.500  0.703 [4 per cell]
Cu  0.000  0.500  0.500 [2 per cell]
Ru  0.000  0.000  0.500 [2 per cell]
Ru  0.250  0.250  0.500 [4 per cell]
Cl  0.000  0.000  0.000 [2 per cell]
Cl  0.000  0.500  0.000 [2 per cell]
Cl  0.250  0.250  0.000 [4 per cell]

* E: -5.448 eV per atom
* formation energy (no corrections): -0.94 eV per atom
* crystal system: monoclinic

Magnetization: 0.00; 0.00; 0.00 (μB/f.u.)